This record from Alexandria describes crystalline Tb3TlCd at its relaxed geometry. The functional is GGA-PBE.

Computed properties:
E_form	-0.055	eV/atom
DOS(E_F)	0.92	states/eV/atom
theoretical density	8.8	g cm⁻³
VASP energy	-3.4889	eV/atom
E above lowest polymorph	0.206	eV per atom
space-group type	C2/c

Cell: 9.101 8.257 8.257 Å, 76.09 90.09 90.09°
Atoms (fractional coordinates):
1 Tb 0.501 0.627 0.627
2 Tb 0.951 0.702 0.029
3 Tb 0.049 0.298 0.971
4 Tb 0.499 0.373 0.373
5 Tb 0.549 0.971 0.298
6 Tb 0.001 0.627 0.627
7 Tb 0.451 0.298 0.968
8 Tb 0.999 0.373 0.373
9 Tb 0.951 0.968 0.298
10 Tb 0.451 0.029 0.702
11 Tb 0.549 0.702 0.032
12 Tb 0.049 0.032 0.702
13 Cd 0.751 0.885 0.641
14 Cd 0.249 0.115 0.359
15 Cd 0.251 0.641 0.885
16 Cd 0.749 0.359 0.115
17 Tl 0.750 0.033 0.967
18 Tl 0.250 0.967 0.033
19 Tl 0.750 0.331 0.669
20 Tl 0.250 0.669 0.331

***

This record from Alexandria describes crystalline ZrSb2Se at its relaxed geometry. The functional is GGA-PBE.

Computed properties:
DOS(E_F)	0.34	states/eV/atom
theoretical density	7.1	g cm⁻³
VASP energy	-5.4626	eV/atom
space-group type	Pm

Cell: 4.714 3.941 5.581 Å, 69.24 90.00 90.00°
Atoms (fractional coordinates):
1 Sb 0.500 0.276 0.324
2 Sb 0.000 0.967 0.942
3 Zr 0.500 0.558 0.757
4 Se 0.000 0.700 0.477

***

This record from Alexandria describes crystalline UPa2Nb at its relaxed geometry. The functional is GGA-PBE.

Computed properties:
E_form	0.432	eV/atom
DOS(E_F)	2.42	states/eV/atom
theoretical density	14.4	g cm⁻³
VASP energy	-9.6559	eV/atom
E above lowest polymorph	0.281	eV per atom
space-group type	R-3m

Cell: 3.041 3.041 11.534 Å, 82.43 82.43 60.00°
Atoms (fractional coordinates):
1 Pa 0.084 0.084 0.749
2 Pa 0.916 0.916 0.251
3 U 0.500 0.500 0.500
4 Nb 0.000 0.000 0.000

***

This record from Alexandria describes crystalline CsBaP at its relaxed geometry. The functional is GGA-PBE.

Computed properties:
E_form	-0.541	eV/atom
DOS(E_F)	0.00	states/eV/atom
theoretical density	4.0	g cm⁻³
VASP energy	-3.2692	eV/atom
space-group type	Pnma

Cell: 8.465 5.269 11.190 Å, 90.00 90.00 90.00°
Atoms (fractional coordinates):
1 Cs 0.125 0.750 0.585
2 Cs 0.875 0.250 0.415
3 Cs 0.625 0.750 0.915
4 Cs 0.375 0.250 0.085
5 Ba 0.512 0.750 0.352
6 Ba 0.488 0.250 0.648
7 Ba 0.012 0.750 0.148
8 Ba 0.988 0.250 0.852
9 P 0.693 0.750 0.599
10 P 0.193 0.750 0.901
11 P 0.807 0.250 0.099
12 P 0.307 0.250 0.401

***

This record from Alexandria describes crystalline Li3CdGe at its relaxed geometry. The functional is GGA-PBE.

Computed properties:
E_form	0.313	eV/atom
DOS(E_F)	0.38	states/eV/atom
theoretical density	3.0	g cm⁻³
VASP energy	-1.9417	eV/atom
E above lowest polymorph	0.579	eV per atom
space-group type	Pm-3m

Cell: 4.867 4.867 4.867 Å, 90.00 90.00 90.00°
Atoms (fractional coordinates):
1 Li 0.500 0.000 0.000
2 Li 0.000 0.000 0.500
3 Li 0.000 0.500 0.000
4 Ge 0.500 0.500 0.500
5 Cd 0.000 0.000 0.000

***

This record from Alexandria describes crystalline MgZr2In2 at its relaxed geometry. The functional is GGA-PBE.

Computed properties:
E_form	0.264	eV/atom
DOS(E_F)	1.05	states/eV/atom
theoretical density	5.8	g cm⁻³
VASP energy	-4.5698	eV/atom
space-group type	I4/mmm

Cell: 4.231 4.231 7.592 Å, 73.82 73.82 90.00°
Atoms (fractional coordinates):
1 Zr 0.591 0.591 0.818
2 Zr 0.409 0.409 0.182
3 In 0.750 0.250 0.500
4 In 0.250 0.750 0.500
5 Mg 0.000 0.000 0.000

***

This record from Alexandria describes crystalline TbMg2B2O6 at its relaxed geometry. The functional is GGA-PBE.

Computed properties:
DOS(E_F)	0.10	states/eV/atom
theoretical density	3.3	g cm⁻³
VASP energy	-7.2084	eV/atom
space-group type	P-3

Cell: 4.983 4.983 7.721 Å, 90.00 90.00 120.00°
Atoms (fractional coordinates):
1 Mg 0.667 0.333 0.711
2 Mg 0.333 0.667 0.289
3 O 0.663 0.610 0.184
4 O 0.337 0.390 0.816
5 O 0.053 0.663 0.816
6 O 0.610 0.947 0.816
7 O 0.390 0.053 0.184
8 O 0.947 0.337 0.184
9 B 0.667 0.333 0.187
10 B 0.333 0.667 0.813
11 Tb 0.000 0.000 0.000

***

This record from Alexandria describes crystalline BaAg2Cl8 at its relaxed geometry. The functional is GGA-PBE.

Computed properties:
theoretical density	3.1	g cm⁻³
VASP energy	-2.8567	eV/atom
space-group type	I422

Cell: 7.198 7.198 8.285 Å, 115.75 115.75 90.00°
Atoms (fractional coordinates):
1 Cl 0.452 0.968 0.250
2 Cl 0.202 0.032 0.750
3 Cl 0.548 0.718 0.750
4 Cl 0.718 0.202 0.750
5 Cl 0.798 0.282 0.250
6 Cl 0.968 0.798 0.250
7 Cl 0.032 0.548 0.750
8 Cl 0.282 0.452 0.250
9 Ba 0.500 0.500 0.000
10 Ag 0.250 0.750 0.500
11 Ag 0.750 0.250 0.500